Computed, not measured: crystalline TiCrI2O at its relaxed geometry at the GGA+U level of DFT.

Properties
distance to the lowest polymorph of the same formula: 0.0000 eV per atom
total DFT energy (no corrections): -5.58 eV/atom

a b c (Å): 5.764 5.764 3.770
angles (deg): 90.00 90.00 90.00
Space group P4/mmm (No. 123)
One atom of each set of equivalent atoms:
Ti  0.000  0.000  0.000
Cr  0.500  0.500  0.500
I  0.000  0.500  0.000
O  0.000  0.000  0.500